--- one ---
TlHg2Te | GGA-PBEsol | optimized geometry

Output
Crystal system   cubic
Calculated volume   107.9 Å³/f.u.

abc: 7.558 7.558 7.558
angles: 90.00 90.00 90.00
Space group F-43m (No. 216)
Inequivalent atoms, fractional coordinates:
Tl 0.000 0.000 0.000 (multiplicity 4)
Hg 0.000 0.000 0.500 (multiplicity 4)
Hg 0.250 0.250 0.750 (multiplicity 4)
Te 0.250 0.250 0.250 (multiplicity 4)

=====

--- two ---
TlHg2Te | GGA-PBEsol | optimized geometry

Output
Crystal system   tetragonal
Calculated volume   105.0 Å³/f.u.

abc: 3.514 3.514 8.508
angles: 90.00 90.00 90.00
Space group P4/mmm (No. 123)
Inequivalent atoms, fractional coordinates:
Tl 0.000 0.000 0.000 (multiplicity 1)
Hg 0.500 0.500 0.248 (multiplicity 2)
Te 0.000 0.000 0.500 (multiplicity 1)

=====

Quick one: least stable of them? two

=====

--- one ---
Y2HgTe | GGA-PBEsol | optimized geometry

Output
Crystal system   tetragonal
Calculated volume   100.9 Å³/f.u.

abc: 5.243 5.243 3.670
angles: 90.00 90.00 90.00
Space group P4/mmm (No. 123)
Inequivalent atoms, fractional coordinates:
Y 0.000 0.500 0.000 (multiplicity 2)
Hg 0.000 0.000 0.500 (multiplicity 1)
Te 0.500 0.500 0.500 (multiplicity 1)

=====

--- two ---
Y2HgTe | GGA-PBEsol | optimized geometry

Output
Crystal system   tetragonal
Calculated volume   110.9 Å³/f.u.

abc: 4.267 4.267 6.088
angles: 90.00 90.00 90.00
Space group P4/mmm (No. 123)
Inequivalent atoms, fractional coordinates:
Y 0.000 0.000 0.000 (multiplicity 1)
Y 0.500 0.500 0.500 (multiplicity 1)
Hg 0.000 0.000 0.500 (multiplicity 1)
Te 0.500 0.500 0.000 (multiplicity 1)

=====

--- three ---
Y2HgTe | GGA-PBEsol | optimized geometry

Output
Crystal system   trigonal
Calculated volume   110.4 Å³/f.u.

abc: 4.0927 4.0927 22.8417
angles: 90.00 90.00 120.00
Space group R-3m (No. 166, hexagonal axes)
Inequivalent atoms, fractional coordinates:
Y 0.0000 0.0000 0.2493 (multiplicity 6)
Hg 0.0000 0.0000 0.5000 (multiplicity 3)
Te 0.0000 0.0000 0.0000 (multiplicity 3)

=====

Quick one: least stable of them? one

=====

--- one ---
Y2HgTe | GGA-PBEsol | optimized geometry

Output
Crystal system   orthorhombic
Calculated volume   101.6 Å³/f.u.

abc: 4.580 5.361 8.277
angles: 90.00 90.00 90.00
Space group Immm (No. 71)
Inequivalent atoms, fractional coordinates:
Y 0.000 0.000 0.247 (multiplicity 4)
Hg 0.000 0.500 0.000 (multiplicity 2)
Te 0.000 0.500 0.500 (multiplicity 2)

=====

--- two ---
Y2HgTe | GGA-PBEsol | optimized geometry

Output
Crystal system   tetragonal
Calculated volume   102.8 Å³/f.u.

abc: 4.336 4.336 10.941
angles: 90.00 90.00 90.00
Space group I-4m2 (No. 119)
Inequivalent atoms, fractional coordinates:
Y 0.000 0.000 0.000 (multiplicity 2)
Y 0.000 0.500 0.250 (multiplicity 2)
Hg 0.000 0.000 0.500 (multiplicity 2)
Te 0.000 0.500 0.750 (multiplicity 2)

=====

Quick one: least stable of them? two

=====

--- one ---
Zr2HgTe | GGA-PBEsol | optimized geometry

Output
Crystal system   tetragonal
Calculated volume   85.4 Å³/f.u.

abc: 3.456 3.456 7.152
angles: 90.00 90.00 90.00
Space group P4/mmm (No. 123)
Inequivalent atoms, fractional coordinates:
Zr 0.000 0.000 0.238 (multiplicity 2)
Hg 0.500 0.500 0.500 (multiplicity 1)
Te 0.500 0.500 0.000 (multiplicity 1)

=====

--- two ---
Zr2HgTe | GGA-PBEsol | optimized geometry

Output
Crystal system   orthorhombic
Calculated volume   85.3 Å³/f.u.

abc: 6.465 7.647 3.449
angles: 90.00 90.00 90.00
Space group Cmmm (No. 65)
Inequivalent atoms, fractional coordinates:
Zr 0.250 0.250 0.000 (multiplicity 4)
Hg 0.000 0.000 0.500 (multiplicity 2)
Te 0.000 0.500 0.500 (multiplicity 2)

=====

--- three ---
Zr2HgTe | GGA-PBEsol | optimized geometry

Output
Crystal system   trigonal
Calculated volume   96.7 Å³/f.u.

abc: 3.4850 3.4850 27.5764
angles: 90.00 90.00 120.00
Space group R3m (No. 160, hexagonal axes)
Inequivalent atoms, fractional coordinates:
Zr 0.0000 0.0000 0.0000 (multiplicity 3)
Zr 0.0000 0.0000 0.2490 (multiplicity 3)
Hg 0.0000 0.0000 0.7481 (multiplicity 3)
Te 0.0000 0.0000 0.5079 (multiplicity 3)

=====

Quick one: least stable of them? three

=====

--- one ---
Ti3Hg | GGA-PBEsol | optimized geometry

Output
Crystal system   cubic
Calculated volume   67.6 Å³/f.u.

abc: 4.074 4.074 4.074
angles: 90.00 90.00 90.00
Space group Pm-3m (No. 221)
Inequivalent atoms, fractional coordinates:
Ti 0.000 0.000 0.500 (multiplicity 3)
Hg 0.500 0.500 0.500 (multiplicity 1)

=====

--- two ---
Ti3Hg | GGA-PBEsol | optimized geometry

Output
Crystal system   cubic
Calculated volume   67.0 Å³/f.u.

abc: 5.117 5.117 5.117
angles: 90.00 90.00 90.00
Space group Pm-3n (No. 223)
Inequivalent atoms, fractional coordinates:
Ti 0.000 0.250 0.500 (multiplicity 6)
Hg 0.000 0.000 0.000 (multiplicity 2)

=====

Quick one: least stable of them? one

=====

--- one ---
TlHg2 | GGA-PBEsol | optimized geometry

Output
Crystal system   monoclinic
Calculated volume   75.9 Å³/f.u.

abc: 13.542 3.378 6.850
angles: 90.00 104.42 90.00
Space group C2/m (No. 12)
Inequivalent atoms, fractional coordinates:
Tl 0.156 0.000 0.085 (multiplicity 4)
Hg 0.002 0.500 0.728 (multiplicity 4)
Hg 0.169 0.000 0.584 (multiplicity 4)

=====

--- two ---
TlHg2 | GGA-PBEsol | optimized geometry

Output
Crystal system   tetragonal
Calculated volume   75.7 Å³/f.u.

abc: 3.455 3.455 12.677
angles: 90.00 90.00 90.00
Space group I4/mmm (No. 139)
Inequivalent atoms, fractional coordinates:
Tl 0.000 0.000 0.000 (multiplicity 2)
Hg 0.000 0.000 0.326 (multiplicity 4)

=====

Quick one: least stable of them? one